No. 1
{
  "formula": "TaSnI3",
  "functional": "GGA-PBE",
  "state": "relaxed",
  "cell": [[5.598, 0.000, 0.000], [0.000, 5.598, 0.000], [0.000, 0.000, 5.598]],
  "species": ["Ta", "Sn", "I", "I", "I"],
  "fractional_positions": [[0.000, 0.000, 0.000], [0.500, 0.500, 0.500], [0.000, 0.000, 0.500], [0.000, 0.500, 0.000], [0.500, 0.000, 0.000]],
  "magnetic_moment_mub_per_cell": 3.053,
  "energy_ev_per_atom": -3.64,
  "relative_energy_mev_per_atom": 0,
  "space_group": "Pm-3m"
}

=====

No. 2
{
  "formula": "BaYW2C",
  "functional": "GGA-PBE",
  "state": "relaxed",
  "cell": [[4.306, 0.000, 0.000], [0.000, 4.306, 0.000], [0.000, 0.000, 5.310]],
  "species": ["Ba", "Y", "W", "W", "C"],
  "fractional_positions": [[0.000, 0.000, 0.000], [0.500, 0.500, 0.000], [0.000, 0.500, 0.500], [0.500, 0.000, 0.500], [0.500, 0.500, 0.500]],
  "magnetic_moment_mub_per_cell": 0.000,
  "energy_ev_per_atom": -7.95,
  "e_form_mev_per_atom": 752,
  "space_group": "P4/mmm"
}

=====

What did the first record say?
{
  "formula": "TaSnI3",
  "functional": "GGA-PBE",
  "state": "relaxed",
  "cell": [[5.598, 0.000, 0.000], [0.000, 5.598, 0.000], [0.000, 0.000, 5.598]],
  "species": ["Ta", "Sn", "I", "I", "I"],
  "fractional_positions": [[0.000, 0.000, 0.000], [0.500, 0.500, 0.500], [0.000, 0.000, 0.500], [0.000, 0.500, 0.000], [0.500, 0.000, 0.000]],
  "magnetic_moment_mub_per_cell": 3.053,
  "energy_ev_per_atom": -3.64,
  "relative_energy_mev_per_atom": 0,
  "space_group": "Pm-3m"
}